RbVF3, optimized geometry, DFT PBE with a Hubbard U; SG = Amm2 (38); electronic total energy = -5.307 eV/atom
1.0
3.378 0.000 0.000
0.000 3.958 -4.674
0.000 3.958 4.674
F V Rb
3 1 1
Direct
0.000 0.228 0.772 F
0.500 0.633 0.694 F
0.500 0.306 0.367 F
0.000 0.442 0.558 V
0.500 0.019 0.981 Rb